(w)
A plane-wave DFT calculation with GGA-PBE was carried out for a relaxed structure of MnCrTcPdRh.

Cell and atoms, written as extended XYZ:
```
5
Lattice="-1.358 1.358 9.052 1.358 -1.358 9.052 1.358 1.358 -9.052" Properties=species:S:1:pos:R:3 pbc="T T T"
Mn 0.000 0.000 0.000
Cr 0.000 0.000 7.667
Tc 0.000 0.000 10.857
Pd 0.000 0.000 14.812
Rh 0.000 0.000 3.664
```


(x)
A plane-wave DFT calculation with GGA-PBE was carried out for a relaxed structure of MnCrTcPdRh.

Cell and atoms, written as extended XYZ:
```
5
Lattice="4.268 -1.905 0.000 4.268 1.905 0.000 -4.241 0.000 4.270" Properties=species:S:1:pos:R:3 pbc="T T T"
Mn 0.000 0.000 0.000
Cr -1.752 0.000 3.392
Tc 0.854 0.000 2.596
Pd 3.401 0.000 1.719
Rh 5.958 0.000 0.823
```


Which one sits at the bottom of the stability order? (x) does.


(w)
A plane-wave DFT calculation with GGA-PBE was carried out for a relaxed structure of MnCrTcPdRh.

Cell and atoms, written as extended XYZ:
```
5
Lattice="4.208 -1.798 0.000 4.208 1.798 0.000 -0.219 0.000 4.847" Properties=species:S:1:pos:R:3 pbc="T T T"
Mn 0.000 0.000 0.000
Cr 4.735 0.000 3.596
Tc 5.154 0.000 1.252
Pd 2.262 0.000 4.626
Rh 7.474 0.000 2.389
```


(x)
A plane-wave DFT calculation with GGA-PBE was carried out for a relaxed structure of MnCrTcPdRh.

Cell and atoms, written as extended XYZ:
```
5
Lattice="4.444 -1.372 0.000 4.444 1.372 0.000 -3.247 0.000 5.727" Properties=species:S:1:pos:R:3 pbc="T T T"
Mn 0.000 0.000 0.000
Cr 6.392 0.000 1.076
Tc -0.894 0.000 4.592
Pd 3.967 0.000 2.202
Rh 1.552 0.000 3.508
```


(y)
A plane-wave DFT calculation with GGA-PBE was carried out for a relaxed structure of MnCrTcPdRh.

Cell and atoms, written as extended XYZ:
```
5
Lattice="2.734 0.000 0.000 -1.361 4.488 0.000 -1.366 -1.115 5.677" Properties=species:S:1:pos:R:3 pbc="T T T"
Mn 0.000 0.000 0.000
Cr 0.008 0.773 4.604
Tc 1.371 0.401 2.395
Pd 0.007 2.444 1.136
Rh -1.362 2.844 3.511
```


(z)
A plane-wave DFT calculation with GGA-PBE was carried out for a relaxed structure of MnCrTcPdRh.

Cell and atoms, written as extended XYZ:
```
5
Lattice="2.673 0.000 0.000 0.000 2.037 6.262 0.000 -2.037 6.262" Properties=species:S:1:pos:R:3 pbc="T T T"
Mn 0.000 0.000 0.000
Cr 0.000 0.000 5.046
Tc 0.000 0.000 2.625
Pd 1.337 0.000 7.425
Rh 1.337 0.000 10.209
```


Which one sits at the bottom of the stability order? (w) does.


(w)
A plane-wave DFT calculation with GGA-PBE was carried out for a relaxed structure of MnCrTcPdRh.

Cell and atoms, written as extended XYZ:
```
5
Lattice="-1.363 2.056 6.279 1.363 -2.056 6.279 1.363 2.056 -6.279" Properties=species:S:1:pos:R:3 pbc="T T T"
Mn 0.000 0.000 0.000
Cr 0.000 0.000 7.105
Tc 1.363 0.000 4.931
Pd 1.363 0.000 2.336
Rh 0.000 2.056 3.868
```


(x)
A plane-wave DFT calculation with GGA-PBE was carried out for a relaxed structure of MnCrTcPdRh.

Cell and atoms, written as extended XYZ:
```
5
Lattice="-1.370 2.103 6.069 1.370 -2.103 6.069 1.370 2.103 -6.069" Properties=species:S:1:pos:R:3 pbc="T T T"
Mn 0.000 0.000 0.000
Cr 0.000 0.000 5.171
Tc 0.000 2.103 3.917
Pd 1.370 0.000 2.677
Rh 0.000 2.103 1.333
```


Which one sits at the bottom of the stability order? (x) does.


(w)
A plane-wave DFT calculation with GGA-PBE was carried out for a relaxed structure of MnCrRe2.

Cell and atoms, written as extended XYZ:
```
4
Lattice="2.636 -4.192 0.000 2.636 4.192 0.000 -0.862 0.000 2.471" Properties=species:S:1:pos:R:3 pbc="T T T"
Mn 0.000 0.000 0.000
Cr 2.636 0.000 0.000
Re 0.887 2.096 1.235
Re 0.887 -2.096 1.235
```


(x)
A plane-wave DFT calculation with GGA-PBE was carried out for a relaxed structure of MnCrRe2.

Cell and atoms, written as extended XYZ:
```
4
Lattice="2.615 0.000 0.000 0.000 4.236 0.000 -0.923 0.000 4.889" Properties=species:S:1:pos:R:3 pbc="T T T"
Mn 0.000 0.000 0.000
Cr -0.236 2.118 3.751
Re 0.608 0.000 2.539
Re 1.547 2.118 1.226
```


(y)
A plane-wave DFT calculation with GGA-PBE was carried out for a relaxed structure of MnCrRe2.

Cell and atoms, written as extended XYZ:
```
4
Lattice="2.686 0.000 0.000 0.000 3.681 0.000 0.000 0.000 5.391" Properties=species:S:1:pos:R:3 pbc="T T T"
Mn 0.000 0.000 0.000
Cr 0.000 0.000 2.695
Re 1.343 1.840 1.337
Re 1.343 1.840 4.054
```


(z)
A plane-wave DFT calculation with GGA-PBE was carried out for a relaxed structure of MnCrRe2.

Cell and atoms, written as extended XYZ:
```
4
Lattice="4.409 -1.349 0.000 4.409 1.349 0.000 -0.868 0.000 4.495" Properties=species:S:1:pos:R:3 pbc="T T T"
Mn 0.000 0.000 0.000
Cr 1.645 0.000 3.386
Re 4.027 0.000 2.305
Re 6.384 0.000 1.050
```


Which one sits at the bottom of the stability order? (y) does.


(w)
A plane-wave DFT calculation with GGA-PBE was carried out for a relaxed structure of MnCrRh.

Cell and atoms, written as extended XYZ:
```
3
Lattice="-1.383 1.741 4.134 1.383 -1.741 4.134 1.383 1.741 -4.134" Properties=species:S:1:pos:R:3 pbc="T T T"
Mn 0.000 0.000 0.000
Cr 0.000 0.000 2.842
Rh 0.000 0.000 5.571
```


(x)
A plane-wave DFT calculation with GGA-PBE was carried out for a relaxed structure of MnCrRh.

Cell and atoms, written as extended XYZ:
```
3
Lattice="4.035 0.000 0.000 -2.018 3.495 0.000 0.000 0.000 2.601" Properties=species:S:1:pos:R:3 pbc="T T T"
Mn 0.000 0.000 0.000
Cr 0.000 2.330 0.000
Rh 2.018 1.165 1.301
```


(y)
A plane-wave DFT calculation with GGA-PBE was carried out for a relaxed structure of MnCrRh.

Cell and atoms, written as extended XYZ:
```
3
Lattice="-1.324 1.324 5.512 1.324 -1.324 5.512 1.324 1.324 -5.512" Properties=species:S:1:pos:R:3 pbc="T T T"
Mn 0.000 0.000 0.000
Cr 0.000 0.000 3.730
Rh 0.000 0.000 7.475
```


(z)
A plane-wave DFT calculation with GGA-PBE was carried out for a relaxed structure of MnCrRh.

Cell and atoms, written as extended XYZ:
```
3
Lattice="0.000 2.835 2.835 2.835 0.000 2.835 2.835 2.835 0.000" Properties=species:S:1:pos:R:3 pbc="T T T"
Mn 0.000 0.000 0.000
Cr 1.417 1.417 1.417
Rh 2.835 2.835 2.835
```


Which one sits at the bottom of the stability order? (z) does.


(w)
A plane-wave DFT calculation with GGA-PBE was carried out for a relaxed structure of MnCrRh3.

Cell and atoms, written as extended XYZ:
```
10
Lattice="4.687 0.000 0.000 1.612 5.096 0.000 1.576 0.983 5.743" Properties=species:S:1:pos:R:3 pbc="T T T"
Mn 1.214 1.085 1.697
Mn 6.660 4.994 4.046
Cr 4.354 5.686 5.096
Cr 3.521 0.393 0.647
Rh 1.985 3.701 1.665
Rh 3.549 3.111 5.197
Rh 4.299 4.333 2.846
Rh 3.576 1.746 2.897
Rh 4.326 2.968 0.546
Rh 5.889 2.378 4.078
```


(x)
A plane-wave DFT calculation with GGA-PBE was carried out for a relaxed structure of MnCrRh3.

Cell and atoms, written as extended XYZ:
```
5
Lattice="4.408 0.000 0.000 0.000 4.408 0.000 0.000 0.000 4.408" Properties=species:S:1:pos:R:3 pbc="T T T"
Mn 0.000 0.000 0.000
Cr 2.204 2.204 2.204
Rh 0.000 2.204 2.204
Rh 2.204 0.000 2.204
Rh 2.204 2.204 0.000
```


Which one sits at the bottom of the stability order? (x) does.


(w)
A plane-wave DFT calculation with GGA-PBE was carried out for a relaxed structure of MnCrTcRhW.

Cell and atoms, written as extended XYZ:
```
5
Lattice="4.804 -1.487 0.000 4.804 1.487 0.000 -4.796 0.000 4.852" Properties=species:S:1:pos:R:3 pbc="T T T"
Mn 0.000 0.000 0.000
Cr 0.977 0.000 3.233
Tc -2.003 0.000 4.095
Rh 3.982 0.000 2.008
W 6.635 0.000 1.249
```


(x)
A plane-wave DFT calculation with GGA-PBE was carried out for a relaxed structure of MnCrTcRhW.

Cell and atoms, written as extended XYZ:
```
5
Lattice="6.464 -1.983 0.000 6.464 1.983 0.000 -0.085 0.000 2.662" Properties=species:S:1:pos:R:3 pbc="T T T"
Mn 0.000 0.000 0.000
Cr 7.486 0.000 1.890
Tc 2.289 0.000 1.005
Rh 10.145 0.000 2.354
W 5.085 0.000 1.033
```


Which one sits at the bottom of the stability order? (w) does.


(w)
A plane-wave DFT calculation with GGA-PBE was carried out for a relaxed structure of MnCrTcRhW.

Cell and atoms, written as extended XYZ:
```
5
Lattice="4.025 0.000 0.000 -2.013 3.486 0.000 0.000 0.000 5.222" Properties=species:S:1:pos:R:3 pbc="T T T"
Mn 0.000 0.000 0.000
Cr 2.013 1.162 3.772
Tc 0.000 2.324 4.299
Rh 0.000 0.000 2.536
W 2.013 1.162 1.065
```


(x)
A plane-wave DFT calculation with GGA-PBE was carried out for a relaxed structure of MnCrTcRhW.

Cell and atoms, written as extended XYZ:
```
5
Lattice="4.287 -1.878 0.000 4.287 1.878 0.000 -4.229 0.000 4.304" Properties=species:S:1:pos:R:3 pbc="T T T"
Mn 0.000 0.000 0.000
Cr 1.642 0.000 3.491
Tc 5.050 0.000 1.702
Rh 2.492 0.000 0.833
W -0.926 0.000 2.609
```


Which one sits at the bottom of the stability order? (w) does.


(w)
A plane-wave DFT calculation with GGA-PBE was carried out for a relaxed structure of MnCrTcRhW.

Cell and atoms, written as extended XYZ:
```
5
Lattice="6.485 -1.985 0.000 6.485 1.985 0.000 -0.112 0.000 2.655" Properties=species:S:1:pos:R:3 pbc="T T T"
Mn 0.000 0.000 0.000
Cr 7.474 0.000 1.907
Tc 5.184 0.000 1.066
Rh 10.213 0.000 2.365
W 2.394 0.000 0.987
```


(x)
A plane-wave DFT calculation with GGA-PBE was carried out for a relaxed structure of MnCrTcRhW.

Cell and atoms, written as extended XYZ:
```
5
Lattice="4.408 -1.358 0.000 4.408 1.358 0.000 -3.174 0.000 5.837" Properties=species:S:1:pos:R:3 pbc="T T T"
Mn 0.000 0.000 0.000
Cr 1.682 0.000 3.731
Tc 6.332 0.000 1.237
Rh -0.759 0.000 4.758
W 4.054 0.000 2.429
```


(y)
A plane-wave DFT calculation with GGA-PBE was carried out for a relaxed structure of MnCrTcRhW.

Cell and atoms, written as extended XYZ:
```
5
Lattice="-1.448 1.448 8.445 1.448 -1.448 8.445 1.448 1.448 -8.445" Properties=species:S:1:pos:R:3 pbc="T T T"
Mn 0.000 0.000 0.000
Cr 0.000 0.000 3.117
Tc 0.000 0.000 10.186
Rh 0.000 0.000 6.733
W 0.000 0.000 13.357
```


Which one sits at the bottom of the stability order? (x) does.